Record 1
Compound: Mn2ReRuW
Source: Alexandria via LeMat-Bulk
Functional: GGA-PBE
Structure: relaxed

The structure belongs to space group P4/mmm (No. 123); the cell edges are 4.347, 4.347 and 4.583 Å and the angles 90.00°, 90.00° and 90.00°. The distinct sites, in fractional coordinates, are Mn at (0.000, 0.500, 0.000), Re at (0.000, 0.000, 0.500), Ru at (0.500, 0.500, 0.500) and W at (0.500, 0.500, 0.000).

The total energy comes out at -8.454 eV per atom.


Record 2
Compound: AsWBr2
Source: Alexandria via LeMat-Bulk
Functional: GGA-PBE
Structure: relaxed

The structure belongs to space group I-42d (No. 122); the cell edges are 9.438, 9.438 and 4.853 Å and the angles 90.00°, 90.00° and 90.00°. The distinct sites, in fractional coordinates, are As at (0.000, 0.000, 0.000), W at (0.000, 0.000, 0.500) and Br at (0.112, 0.250, 0.625).

The uncorrected formation energy is 115 kJ/mol of formula units.


Record 3
Compound: HfAlCd3
Source: Alexandria via LeMat-Bulk
Functional: GGA-PBE
Structure: relaxed

The structure belongs to space group Pm-3m (No. 221); the cell edges are 5.606, 5.606 and 5.606 Å and the angles 90.00°, 90.00° and 90.00°. The distinct sites, in fractional coordinates, are Hf at (0.000, 0.000, 0.000), Al at (0.500, 0.500, 0.500) and Cd at (0.000, 0.000, 0.500).

The total energy comes out at -2.209 eV per atom.


Record 4
Compound: AgSnPt
Source: Alexandria via LeMat-Bulk
Functional: GGA-PBE
Structure: relaxed

The structure belongs to space group C2/m (No. 12); the cell edges are 7.695, 4.556 and 8.278 Å and the angles 90.00°, 117.27° and 90.00°. The distinct sites, in fractional coordinates, are Ag at (0.000, 0.000, 0.000), Ag at (0.000, 0.500, 0.500), Sn at (0.201, 0.000, 0.747) and Pt at (0.092, 0.500, 0.863).

The total energy comes out at -4.531 eV per atom.


Record 5
Compound: ZnCdIrRu2
Source: Alexandria via LeMat-Bulk
Functional: GGA-PBE
Structure: relaxed

The structure belongs to space group P4/mmm (No. 123); the cell edges are 4.719, 4.719 and 4.735 Å and the angles 90.00°, 90.00° and 90.00°. The distinct sites, in fractional coordinates, are Zn at (0.000, 0.000, 0.000), Cd at (0.500, 0.500, 0.000), Ir at (0.000, 0.000, 0.500) and Ru at (0.000, 0.500, 0.500).

The total energy comes out at -4.817 eV per atom.


Record 6
Compound: Pr5As4I
Source: Alexandria via LeMat-Bulk
Functional: GGA-PBE
Structure: relaxed

The structure belongs to space group C2/m (No. 12); the cell edges are 14.509, 4.331 and 10.788 Å and the angles 90.00°, 119.93° and 90.00°. The distinct sites, in fractional coordinates, are Pr at (0.000, 0.000, 0.000), Pr at (0.113, 0.500, 0.382), Pr at (0.210, 0.000, 0.822), As at (0.095, 0.500, 0.893), As at (0.208, 0.000, 0.298) and I at (0.000, 0.000, 0.500).

The uncorrected formation energy is -1390 kJ/mol of formula units.